1.
Entry from Alexandria via LeMat-Bulk: LiNdSi2Au5 after structural relaxation (PBE-GGA).

Unit cell a=4.494 b=4.494 c=9.542 alpha=90.00 beta=90.00 gamma=90.00
Space group P4/mmm (No. 123)
Unique sites:
Li  0.000  0.000  0.000
Nd  0.000  0.000  0.500
Si  0.500  0.500  0.253
Au  0.000  0.500  0.159
Au  0.500  0.500  0.500

Computed properties:
Total energy in eV/cell: -36.5
Magnetization in Bohr magnetons per cell: 0.00
Uncorrected formation energy in meV/atom: -292
DOS at the Fermi energy in states/eV per cell: 4.64



2.
Entry from Alexandria via LeMat-Bulk: TaVCd2Pd after structural relaxation (PBE-GGA).

Unit cell a=4.910 b=4.910 c=4.607 alpha=90.00 beta=90.00 gamma=90.00
Space group P4/mmm (No. 123)
Unique sites:
Ta  0.000  0.000  0.000
V  0.500  0.500  0.000
Cd  0.000  0.500  0.500
Pd  0.500  0.500  0.500

Computed properties:
DFT formation energy in eV per atom: 1.265
Total energy in eV/cell: -21.7
Magnetization in Bohr magnetons per cell: 1.24
DOS at the Fermi energy in states/eV per cell: 6.29



3.
Entry from Alexandria via LeMat-Bulk: Mo2Rh2N after structural relaxation (PBE-GGA).

Unit cell a=3.450 b=3.450 c=13.188 alpha=90.00 beta=90.00 gamma=90.00
Space group I4/mmm (No. 139)
Unique sites:
Mo  0.000  0.500  0.250
Rh  0.000  0.000  0.094
N  0.000  0.000  0.500

Computed properties:
Energy relative to the lowest polymorph listed for this composition in eV/atom: 0.145
Total energy in eV/cell: -76.6
Magnetization in Bohr magnetons per cell: 0.00
Uncorrected formation energy in meV/atom: 1274
DOS at the Fermi energy in states/eV per cell: 9.40



4.
Entry from Alexandria via LeMat-Bulk: Cu2GeSbPb after structural relaxation (PBE-GGA).

Unit cell a=4.610 b=4.610 c=5.720 alpha=90.00 beta=90.00 gamma=90.00
Space group P4/mmm (No. 123)
Unique sites:
Cu  0.000  0.500  0.000
Ge  0.000  0.000  0.000
Sb  0.000  0.000  0.500
Pb  0.500  0.500  0.500

Computed properties:
Total energy in eV/cell: -18.6
Magnetization in Bohr magnetons per cell: 0.00
Uncorrected formation energy in meV/atom: 410
DOS at the Fermi energy in states/eV per cell: 2.40



5.
Entry from Alexandria via LeMat-Bulk: Ac3PrHo after structural relaxation (PBE-GGA).

Unit cell a=12.040 b=7.661 c=9.254 alpha=90.00 beta=102.41 gamma=90.00
Space group C2/m (No. 12)
Unique sites:
Ac  0.152  0.234  0.147
Ac  0.164  0.500  0.498
Pr  0.084  0.000  0.713
Ho  0.082  0.500  0.832

Computed properties:
DFT formation energy in eV per atom: 0.207
Total energy in eV/cell: -82.6
Magnetization in Bohr magnetons per cell: 0.00
DOS at the Fermi energy in states/eV per cell: 35.69



6.
Entry from Alexandria via LeMat-Bulk: Sr2Y after structural relaxation (PBE-GGA).

Unit cell a=13.890 b=4.138 c=10.018 alpha=90.00 beta=110.92 gamma=90.00
Space group C2/m (No. 12)
Unique sites:
Sr  0.019  0.000  0.228
Sr  0.169  0.500  0.615
Y  0.173  0.500  0.054

Computed properties:
Energy relative to the lowest polymorph listed for this composition in eV/atom: 0.000
DFT formation energy in eV per atom: 0.141
Total energy in eV/cell: -37.6
Magnetization in Bohr magnetons per cell: 0.00
DOS at the Fermi energy in states/eV per cell: 14.33



7.
Entry from Alexandria via LeMat-Bulk: MgTaTl2 after structural relaxation (PBE-GGA).

Unit cell a=4.159 b=4.159 c=9.990 alpha=90.00 beta=90.00 gamma=90.00
Space group I-4m2 (No. 119)
Unique sites:
Mg  0.000  0.000  0.000
Ta  0.000  0.500  0.750
Tl  0.000  0.000  0.500
Tl  0.000  0.500  0.250

Computed properties:
DFT formation energy in eV per atom: 0.439
Total energy in eV/cell: -32.8
Magnetization in Bohr magnetons per cell: 0.00
DOS at the Fermi energy in states/eV per cell: 4.46



8.
Entry from Alexandria via LeMat-Bulk: Ce2PmOs after structural relaxation (PBE-GGA).

Unit cell a=14.521 b=9.499 c=6.195 alpha=90.00 beta=90.00 gamma=90.00
Space group Pnma (No. 62)
Unique sites:
Ce  0.037  0.058  0.244
Ce  0.213  0.562  0.936
Pm  0.104  0.250  0.729
Pm  0.142  0.750  0.460
Os  0.072  0.750  0.984
Os  0.176  0.250  0.219

Computed properties:
Energy relative to the lowest polymorph listed for this composition in eV/atom: 0.000
DFT formation energy in eV per atom: -0.130
Total energy in eV/cell: -226.9
Magnetization in Bohr magnetons per cell: 0.00
DOS at the Fermi energy in states/eV per cell: 67.30



9.
Entry from Alexandria via LeMat-Bulk: Sc2ZnO4 after structural relaxation (PBE-GGA).

Unit cell a=6.237 b=6.237 c=8.814 alpha=90.00 beta=90.00 gamma=90.00
Space group I4_1/amd (No. 141, origin choice 2)
Unique sites:
Sc  0.000  0.000  0.000
Zn  0.000  0.250  0.375
O  0.000  0.019  0.759

Computed properties:
Total energy in eV/cell: -216.5
Magnetization in Bohr magnetons per cell: 0.00
Uncorrected formation energy in meV/atom: -2909
DOS at the Fermi energy in states/eV per cell: 0.00



10.
Entry from Alexandria via LeMat-Bulk: PaBr3F2 after structural relaxation (PBE-GGA).

Unit cell a=9.266 b=10.863 c=6.655 alpha=90.00 beta=90.00 gamma=90.00
Space group Cmcm (No. 63)
Unique sites:
Pa  0.000  0.110  0.250
Br  0.000  0.355  0.250
Br  0.210  0.331  0.750
F  0.122  0.000  0.000

Computed properties:
Total energy in eV/cell: -122.7
Magnetization in Bohr magnetons per cell: 0.00
Uncorrected formation energy in meV/atom: -2071



11.
Entry from Alexandria via LeMat-Bulk: K3Tm3SbS8 after structural relaxation (PBE-GGA).

Unit cell a=7.9030 b=7.9030 c=22.4802 alpha=90.00 beta=90.00 gamma=120.00
Space group R-3m (No. 166, hexagonal axes)
Unique sites:
K  0.0000  0.5000  0.0000
Tm  0.0000  0.5000  0.5000
Sb  0.0000  0.0000  0.5000
S  0.0000  0.0000  0.2325
S  0.0065  0.5032  0.2315

Computed properties:
Total energy in eV/cell: -231.0
Magnetization in Bohr magnetons per cell: 0.00
Uncorrected formation energy in meV/atom: -1543
DOS at the Fermi energy in states/eV per cell: 6.76



12.
Entry from Alexandria via LeMat-Bulk: SrCd2HPb after structural relaxation (PBE-GGA).

Unit cell a=4.930 b=4.930 c=4.801 alpha=90.00 beta=90.00 gamma=90.00
Space group P4/mmm (No. 123)
Unique sites:
Sr  0.000  0.000  0.000
Cd  0.000  0.500  0.500
H  0.000  0.000  0.500
Pb  0.500  0.500  0.000

Computed properties:
Total energy in eV/cell: -11.3
Magnetization in Bohr magnetons per cell: 0.00
DOS at the Fermi energy in states/eV per cell: 2.03



13.
Entry from Alexandria via LeMat-Bulk: PrHoGa2Au5 after structural relaxation (PBE-GGA).

Unit cell a=4.742 b=4.742 c=8.516 alpha=90.00 beta=90.00 gamma=90.00
Space group P4/mmm (No. 123)
Unique sites:
Pr  0.000  0.000  0.000
Ho  0.000  0.000  0.500
Ga  0.500  0.500  0.355
Au  0.000  0.500  0.242
Au  0.500  0.500  0.000

Computed properties:
DFT formation energy in eV per atom: -0.507
Total energy in eV/cell: -36.4
Magnetization in Bohr magnetons per cell: 0.00
DOS at the Fermi energy in states/eV per cell: 5.09



14.
Entry from Alexandria via LeMat-Bulk: Tc2AsClO after structural relaxation (PBE-GGA).

Unit cell a=4.902 b=4.902 c=3.935 alpha=90.00 beta=90.00 gamma=90.00
Space group P4/mmm (No. 123)
Unique sites:
Tc  0.000  0.500  0.000
As  0.000  0.000  0.000
Cl  0.500  0.500  0.500
O  0.000  0.000  0.500

Computed properties:
Total energy in eV/cell: -28.0
Magnetization in Bohr magnetons per cell: 6.32
Uncorrected formation energy in meV/atom: 845
DOS at the Fermi energy in states/eV per cell: 4.39



15.
Entry from Alexandria via LeMat-Bulk: Li2TiGeSb after structural relaxation (PBE-GGA).

Unit cell a=4.432 b=4.432 c=5.591 alpha=90.00 beta=90.00 gamma=90.00
Space group P4/mmm (No. 123)
Unique sites:
Li  0.000  0.500  0.000
Ti  0.000  0.000  0.500
Ge  0.500  0.500  0.000
Sb  0.500  0.500  0.500

Computed properties:
Total energy in eV/cell: -18.2
Magnetization in Bohr magnetons per cell: 0.05
Uncorrected formation energy in meV/atom: 447
DOS at the Fermi energy in states/eV per cell: 7.85



16.
Entry from Alexandria via LeMat-Bulk: TlIr2Cl after structural relaxation (PBE-GGA).

Unit cell a=2.853 b=3.798 c=8.311 alpha=90.00 beta=90.00 gamma=90.00
Space group Pmm2 (No. 25)
Unique sites:
Tl  0.000  0.000  0.000
Ir  0.000  0.000  0.583
Ir  0.500  0.500  0.691
Cl  0.500  0.500  0.246

Computed properties:
Energy relative to the lowest polymorph listed for this composition in eV/atom: 0.122
Total energy in eV/cell: -20.2
Magnetization in Bohr magnetons per cell: 0.00
Uncorrected formation energy in meV/atom: 427
DOS at the Fermi energy in states/eV per cell: 2.50



17.
Entry from Alexandria via LeMat-Bulk: Sr2TaRh4 after structural relaxation (PBE-GGA).

Unit cell a=4.830 b=4.830 c=15.082 alpha=90.00 beta=90.00 gamma=90.00
Space group I4/mmm (No. 139)
Unique sites:
Sr  0.000  0.000  0.142
Ta  0.000  0.000  0.500
Rh  0.000  0.000  0.343
Rh  0.000  0.500  0.000

Computed properties:
DFT formation energy in eV per atom: 0.126
Total energy in eV/cell: -87.5
Magnetization in Bohr magnetons per cell: 0.00
DOS at the Fermi energy in states/eV per cell: 6.87



18.
Entry from Alexandria via LeMat-Bulk: Pa2AsP after structural relaxation (PBE-GGA).

Unit cell a=4.021 b=5.703 c=8.087 alpha=90.00 beta=90.00 gamma=90.00
Space group Pmmn (No. 59, origin choice 2)
Unique sites:
Pa  0.250  0.250  0.116
Pa  0.250  0.250  0.635
As  0.250  0.750  0.624
P  0.250  0.750  0.125

Computed properties:
Energy relative to the lowest polymorph listed for this composition in eV/atom: 0.005
DFT formation energy in eV per atom: -1.193
Total energy in eV/cell: -67.6
Magnetization in Bohr magnetons per cell: 0.00
DOS at the Fermi energy in states/eV per cell: 7.87



19.
Entry from Alexandria via LeMat-Bulk: Mg2CoSe after structural relaxation (PBE-GGA).

Unit cell a=3.999 b=3.999 c=8.478 alpha=90.00 beta=90.00 gamma=90.00
Space group I4/mmm (No. 139)
Unique sites:
Mg  0.000  0.500  0.250
Co  0.000  0.000  0.000
Se  0.000  0.000  0.500

Computed properties:
Energy relative to the lowest polymorph listed for this composition in eV/atom: 0.302
Total energy in eV/cell: -27.5
Magnetization in Bohr magnetons per cell: 2.45
Uncorrected formation energy in meV/atom: 5
DOS at the Fermi energy in states/eV per cell: 6.03



20.
Entry from Alexandria via LeMat-Bulk: SrGaGe4 after structural relaxation (PBE-GGA).

Unit cell a=8.069 b=8.069 c=8.069 alpha=90.00 beta=90.00 gamma=90.00
Space group F-43m (No. 216)
Unique sites:
Sr  0.000  0.000  0.000
Ga  0.250  0.250  0.250
Ge  0.124  0.124  0.624

Computed properties:
DFT formation energy in eV per atom: -0.110
Total energy in eV/cell: -95.4
Magnetization in Bohr magnetons per cell: 0.00
DOS at the Fermi energy in states/eV per cell: 11.40